1.
A relaxed structure of YGa2Ru, computed with GGA-PBE. Values from VASP.

Structure (Quantum ESPRESSO input):
```
&SYSTEM
  ibrav = 0, nat = 4, ntyp = 3
/
ATOMIC_SPECIES
Y 88.91 Y.upf
Ga 69.72 Ga.upf
Ru 101.07 Ru.upf
ATOMIC_POSITIONS angstrom
Y 0.000 0.000 0.000
Ga 0.000 0.000 3.199
Ga 0.000 0.000 11.616
Ru 0.000 0.000 7.408
CELL_PARAMETERS angstrom
2.116 1.222 4.938
-2.116 1.222 4.938
0.000 -2.444 4.938
```

The volume is 19.2 Å³/atom. The energy relative to the elements comes out at -50 kJ/mol of atoms.

2.
A relaxed structure of K2CeCdO4, computed with GGA-PBE. Values from VASP.

Structure (Quantum ESPRESSO input):
```
&SYSTEM
  ibrav = 0, nat = 8, ntyp = 4
/
ATOMIC_SPECIES
K 39.10 K.upf
Ce 140.12 Ce.upf
Cd 112.41 Cd.upf
O 16.00 O.upf
ATOMIC_POSITIONS angstrom
K 0.000 0.000 0.000
K 2.994 1.784 0.000
Ce -1.064 1.784 3.127
Cd 1.930 0.000 3.127
O -0.233 0.000 4.355
O 0.851 1.784 1.943
O 3.009 1.784 4.310
O 4.093 0.000 1.899
CELL_PARAMETERS angstrom
5.989 0.000 0.000
0.000 3.568 0.000
-2.129 0.000 6.254
```

The volume is 16.7 Å³/atom. The formation energy (no corrections) is -200 kJ per mole of atoms.

3.
A relaxed structure of Dy2YSi2, computed with GGA-PBE. Values from VASP.

Structure (Quantum ESPRESSO input):
```
&SYSTEM
  ibrav = 0, nat = 10, ntyp = 3
/
ATOMIC_SPECIES
Dy 162.50 Dy.upf
Y 88.91 Y.upf
Si 28.09 Si.upf
ATOMIC_POSITIONS angstrom
Dy 1.315 2.428 0.000
Dy 2.428 6.171 0.000
Dy 5.058 1.315 0.000
Dy 6.171 5.058 0.000
Y 0.000 0.000 2.110
Y 3.743 3.743 2.110
Si 0.871 4.614 2.110
Si 2.872 0.871 2.110
Si 4.614 6.615 2.110
Si 6.615 2.872 2.110
CELL_PARAMETERS angstrom
7.486 0.000 0.000
0.000 7.486 0.000
0.000 0.000 4.220
```

The volume is 23.6 Å³/atom. The formation energy (no corrections) is -69 kJ per mole of atoms.

4.
A relaxed structure of Ni2Sn3S3, computed with GGA-PBE. Values from VASP.

Structure (Quantum ESPRESSO input):
```
&SYSTEM
  ibrav = 0, nat = 32, ntyp = 3
/
ATOMIC_SPECIES
Ni 58.69 Ni.upf
Sn 118.71 Sn.upf
S 32.06 S.upf
ATOMIC_POSITIONS angstrom
Ni -3.114 -1.702 8.455
Ni 0.000 0.000 3.513
Ni -0.083 -3.548 6.416
Ni -3.031 1.846 6.416
Ni 3.031 -1.846 8.455
Ni 0.083 3.548 8.455
Ni 0.000 0.000 11.358
Ni 3.114 1.702 6.416
Sn 5.226 -0.638 8.988
Sn -5.226 0.638 5.883
Sn -3.166 -4.207 8.988
Sn -2.072 -0.134 5.038
Sn 2.060 -4.845 5.883
Sn 1.152 -1.727 5.038
Sn -0.920 -1.861 9.832
Sn 0.920 1.861 5.038
Sn -1.152 1.727 9.832
Sn -2.060 4.845 8.988
Sn 2.072 0.134 9.832
Sn 3.166 4.207 5.883
S -0.916 -1.881 2.500
S -1.171 1.734 2.500
S -2.089 -2.328 6.470
S 2.087 0.147 2.500
S -3.061 0.645 8.400
S -0.972 2.973 6.470
S 0.972 -2.973 8.400
S 3.061 -0.645 6.470
S -2.087 -0.147 12.370
S 2.089 2.328 8.400
S 1.171 -1.734 12.370
S 0.916 1.881 12.370
CELL_PARAMETERS angstrom
6.141 3.546 4.957
-6.141 3.546 4.957
0.000 -7.092 4.957
```

The volume is 20.2 Å³/atom. The formation energy (no corrections) is -34 kJ per mole of atoms.

5.
A relaxed structure of TeOs2PtRh, computed with GGA-PBE. Values from VASP.

Structure (Quantum ESPRESSO input):
```
&SYSTEM
  ibrav = 0, nat = 5, ntyp = 4
/
ATOMIC_SPECIES
Te 127.60 Te.upf
Os 190.23 Os.upf
Pt 195.08 Pt.upf
Rh 102.91 Rh.upf
ATOMIC_POSITIONS angstrom
Te 0.000 0.000 0.000
Os 0.000 2.370 2.453
Os 2.370 0.000 2.453
Pt 2.370 2.370 2.453
Rh 2.370 2.370 0.000
CELL_PARAMETERS angstrom
4.740 0.000 0.000
0.000 4.740 0.000
0.000 0.000 4.906
```

The volume is 22.0 Å³/atom. The formation energy (no corrections) is 193 kJ per mole of atoms.

6.
A relaxed structure of TlPb, computed with GGA-PBE. Values from VASP.

Structure (Quantum ESPRESSO input):
```
&SYSTEM
  ibrav = 0, nat = 4, ntyp = 2
/
ATOMIC_SPECIES
Tl 204.38 Tl.upf
Pb 207.20 Pb.upf
ATOMIC_POSITIONS angstrom
Tl 0.967 0.000 2.220
Tl 9.524 0.000 3.701
Pb 4.238 0.000 0.729
Pb 6.253 0.000 5.192
CELL_PARAMETERS angstrom
5.900 -1.783 0.000
5.900 1.783 0.000
-1.310 0.000 5.921
```

The volume is 31.1 Å³/atom. The energy relative to the elements comes out at 0 kJ/mol of atoms.

7.
A relaxed structure of AlCd2In, computed with GGA-PBE. Values from VASP.

Structure (Quantum ESPRESSO input):
```
&SYSTEM
  ibrav = 0, nat = 4, ntyp = 3
/
ATOMIC_SPECIES
Al 26.98 Al.upf
Cd 112.41 Cd.upf
In 114.82 In.upf
ATOMIC_POSITIONS angstrom
Al 0.000 0.000 0.000
Cd 1.894 0.000 4.137
Cd 7.830 0.000 1.301
In 4.862 0.000 2.719
CELL_PARAMETERS angstrom
5.521 -1.496 0.000
5.521 1.496 0.000
-1.317 0.000 5.438
```

The volume is 22.5 Å³/atom. The energy relative to the elements comes out at 10 kJ/mol of atoms.

8.
A relaxed structure of AgHgTeI, computed with GGA-PBE. Values from VASP.

Structure (Quantum ESPRESSO input):
```
&SYSTEM
  ibrav = 0, nat = 4, ntyp = 4
/
ATOMIC_SPECIES
Ag 107.87 Ag.upf
Hg 200.59 Hg.upf
Te 127.60 Te.upf
I 126.90 I.upf
ATOMIC_POSITIONS angstrom
Ag 0.000 0.000 0.000
Hg 2.733 0.000 4.144
Te 5.446 0.000 4.925
I 2.716 0.000 1.045
CELL_PARAMETERS angstrom
4.072 -2.350 0.000
4.072 2.350 0.000
-2.709 0.000 7.697
```

The volume is 36.8 Å³/atom. The formation energy (no corrections) is -20 kJ per mole of atoms.

9.
A relaxed structure of Al2Tc2Ir, computed with GGA-PBE. Values from VASP.

Structure (Quantum ESPRESSO input):
```
&SYSTEM
  ibrav = 0, nat = 5, ntyp = 3
/
ATOMIC_SPECIES
Al 26.98 Al.upf
Tc 98.00 Tc.upf
Ir 192.22 Ir.upf
ATOMIC_POSITIONS angstrom
Al 0.000 0.000 1.334
Al 0.000 0.000 12.648
Tc 1.703 0.000 3.495
Tc 0.000 1.703 3.495
Ir 0.000 0.000 6.991
CELL_PARAMETERS angstrom
-1.703 1.703 6.991
1.703 -1.703 6.991
1.703 1.703 -6.991
```

The volume is 16.2 Å³/atom. The energy relative to the elements comes out at 22 kJ/mol of atoms.

10.
A relaxed structure of NaSm3S4, computed with GGA-PBE. Values from VASP.

Structure (Quantum ESPRESSO input):
```
&SYSTEM
  ibrav = 0, nat = 8, ntyp = 3
/
ATOMIC_SPECIES
Na 22.99 Na.upf
Sm 150.36 Sm.upf
S 32.06 S.upf
ATOMIC_POSITIONS angstrom
Na 0.000 0.000 0.000
Sm 2.018 2.840 2.002
Sm 2.018 -2.840 2.002
Sm 4.036 0.000 0.000
S 4.036 2.847 0.000
S 2.043 0.000 2.002
S 6.030 0.000 2.002
S 4.036 -2.847 0.000
CELL_PARAMETERS angstrom
4.036 -5.681 0.000
4.036 5.681 0.000
0.000 0.000 4.004
```

The volume is 23.0 Å³/atom. The formation energy (no corrections) is -185 kJ per mole of atoms.

11.
A relaxed structure of ZnSnPt6, computed with GGA-PBE. Values from VASP.

Structure (Quantum ESPRESSO input):
```
&SYSTEM
  ibrav = 0, nat = 8, ntyp = 3
/
ATOMIC_SPECIES
Zn 65.41 Zn.upf
Sn 118.71 Sn.upf
Pt 195.08 Pt.upf
ATOMIC_POSITIONS angstrom
Zn 0.000 0.000 0.000
Sn 0.000 0.000 3.994
Pt 0.000 1.998 1.923
Pt 0.000 1.998 6.065
Pt 1.998 0.000 1.923
Pt 1.998 0.000 6.065
Pt 1.998 1.998 0.000
Pt 1.998 1.998 3.994
CELL_PARAMETERS angstrom
3.997 0.000 0.000
0.000 3.997 0.000
0.000 0.000 7.987
```

The volume is 16.0 Å³/atom. The energy relative to the elements comes out at -36 kJ/mol of atoms.

12.
A relaxed structure of KIn2GaPt, computed with GGA-PBE. Values from VASP.

Structure (Quantum ESPRESSO input):
```
&SYSTEM
  ibrav = 0, nat = 5, ntyp = 4
/
ATOMIC_SPECIES
K 39.10 K.upf
In 114.82 In.upf
Ga 69.72 Ga.upf
Pt 195.08 Pt.upf
ATOMIC_POSITIONS angstrom
K 0.000 0.000 0.000
In 0.000 2.678 2.470
In 2.678 0.000 2.470
Ga 2.678 2.678 0.000
Pt 2.678 2.678 2.470
CELL_PARAMETERS angstrom
5.355 0.000 0.000
0.000 5.355 0.000
0.000 0.000 4.939
```

The volume is 28.3 Å³/atom. The energy relative to the elements comes out at -20 kJ/mol of atoms.

13.
A relaxed structure of Tb3DyEr3, computed with GGA-PBE. Values from VASP.

Structure (Quantum ESPRESSO input):
```
&SYSTEM
  ibrav = 0, nat = 14, ntyp = 3
/
ATOMIC_SPECIES
Tb 158.93 Tb.upf
Dy 162.50 Dy.upf
Er 167.26 Er.upf
ATOMIC_POSITIONS angstrom
Tb -0.682 1.971 1.405
Tb -2.706 7.840 1.405
Tb 1.366 1.576 4.215
Tb 3.388 6.659 1.405
Tb 7.461 0.395 4.215
Tb 5.436 6.264 4.215
Dy 0.000 5.490 1.405
Dy 4.754 2.745 4.215
Er -1.363 3.924 4.215
Er -0.674 7.453 4.215
Er 2.717 3.142 1.405
Er 2.037 5.092 4.215
Er 5.429 0.782 1.405
Er 6.117 4.310 1.405
CELL_PARAMETERS angstrom
9.509 0.000 0.000
-4.754 8.235 0.000
0.000 0.000 5.621
```

The volume is 31.4 Å³/atom. The energy relative to the elements comes out at 1 kJ/mol of atoms.

14.
A relaxed structure of Nd3HgPt2, computed with GGA-PBE. Values from VASP.

Structure (Quantum ESPRESSO input):
```
&SYSTEM
  ibrav = 0, nat = 6, ntyp = 3
/
ATOMIC_SPECIES
Nd 144.24 Nd.upf
Hg 200.59 Hg.upf
Pt 195.08 Pt.upf
ATOMIC_POSITIONS angstrom
Nd 0.000 0.000 0.000
Nd 1.973 5.919 2.326
Nd 1.973 -5.919 2.326
Hg 1.973 0.000 2.326
Pt 1.973 2.305 0.000
Pt 1.973 -2.305 0.000
CELL_PARAMETERS angstrom
1.973 -8.743 0.000
1.973 8.743 0.000
0.000 0.000 4.652
```

The volume is 26.7 Å³/atom. The energy relative to the elements comes out at -64 kJ/mol of atoms.

15.
A relaxed structure of Sc2AgSb2, computed with GGA-PBE. Values from VASP.

Structure (Quantum ESPRESSO input):
```
&SYSTEM
  ibrav = 0, nat = 10, ntyp = 3
/
ATOMIC_SPECIES
Sc 44.96 Sc.upf
Ag 107.87 Ag.upf
Sb 121.76 Sb.upf
ATOMIC_POSITIONS angstrom
Sc 1.158 2.821 0.000
Sc 2.821 6.800 0.000
Sc 5.138 1.158 0.000
Sc 6.800 5.138 0.000
Ag 0.000 0.000 0.000
Ag 3.979 3.979 0.000
Sb 1.264 5.243 1.876
Sb 2.716 1.264 1.876
Sb 5.243 6.695 1.876
Sb 6.695 2.716 1.876
CELL_PARAMETERS angstrom
7.959 0.000 0.000
0.000 7.959 0.000
0.000 0.000 3.753
```

The volume is 23.8 Å³/atom. The formation energy (no corrections) is -45 kJ per mole of atoms.

16.
A relaxed structure of YIn2TeAu, computed with GGA-PBE. Values from VASP.

Structure (Quantum ESPRESSO input):
```
&SYSTEM
  ibrav = 0, nat = 5, ntyp = 4
/
ATOMIC_SPECIES
Y 88.91 Y.upf
In 114.82 In.upf
Te 127.60 Te.upf
Au 196.97 Au.upf
ATOMIC_POSITIONS angstrom
Y 0.000 0.000 0.000
In 0.000 2.573 2.919
In 2.573 0.000 2.919
Te 2.573 2.573 0.000
Au 0.000 0.000 2.919
CELL_PARAMETERS angstrom
5.145 0.000 0.000
0.000 5.145 0.000
0.000 0.000 5.837
```

The volume is 30.9 Å³/atom. The formation energy (no corrections) is -26 kJ per mole of atoms.

17.
A relaxed structure of KSrSb3, computed with GGA-PBE. Values from VASP.

Structure (Quantum ESPRESSO input):
```
&SYSTEM
  ibrav = 0, nat = 5, ntyp = 3
/
ATOMIC_SPECIES
K 39.10 K.upf
Sr 87.62 Sr.upf
Sb 121.76 Sb.upf
ATOMIC_POSITIONS angstrom
K 0.000 0.000 0.000
Sr 2.911 2.911 2.911
Sb 0.000 0.000 2.911
Sb 0.000 2.911 0.000
Sb 2.911 0.000 0.000
CELL_PARAMETERS angstrom
5.823 0.000 0.000
0.000 5.823 0.000
0.000 0.000 5.823
```

The volume is 39.5 Å³/atom. The formation energy (no corrections) is 47 kJ per mole of atoms.

18.
A relaxed structure of KY2Ni2, computed with GGA-PBE. Values from VASP.

Structure (Quantum ESPRESSO input):
```
&SYSTEM
  ibrav = 0, nat = 5, ntyp = 3
/
ATOMIC_SPECIES
K 39.10 K.upf
Y 88.91 Y.upf
Ni 58.69 Ni.upf
ATOMIC_POSITIONS angstrom
K 0.000 0.000 0.000
Y 2.422 0.000 2.707
Y 0.000 2.422 2.707
Ni 0.000 0.000 4.201
Ni 0.000 0.000 6.625
CELL_PARAMETERS angstrom
-2.422 2.422 5.413
2.422 -2.422 5.413
2.422 2.422 -5.413
```

The volume is 25.4 Å³/atom. The energy relative to the elements comes out at 10 kJ/mol of atoms.

19.
A relaxed structure of K2GeMo, computed with GGA-PBE. Values from VASP.

Structure (Quantum ESPRESSO input):
```
&SYSTEM
  ibrav = 0, nat = 8, ntyp = 3
/
ATOMIC_SPECIES
K 39.10 K.upf
Ge 72.64 Ge.upf
Mo 95.94 Mo.upf
ATOMIC_POSITIONS angstrom
K 0.866 3.189 0.619
K -3.189 5.513 1.857
K -0.866 9.568 0.619
K 3.189 7.244 1.857
Ge 0.000 0.000 0.000
Ge 0.000 6.379 1.238
Mo 6.379 0.000 1.238
Mo 0.000 0.000 2.476
CELL_PARAMETERS angstrom
-6.379 6.379 2.476
6.379 -6.379 2.476
6.379 6.379 -2.476
```

The volume is 50.4 Å³/atom. The energy relative to the elements comes out at 77 kJ/mol of atoms.

20.
A relaxed structure of Pa2MnRe, computed with GGA-PBE. Values from VASP.

Structure (Quantum ESPRESSO input):
```
&SYSTEM
  ibrav = 0, nat = 4, ntyp = 3
/
ATOMIC_SPECIES
Pa 231.04 Pa.upf
Mn 54.94 Mn.upf
Re 186.21 Re.upf
ATOMIC_POSITIONS angstrom
Pa 0.000 0.000 1.528
Pa 0.000 0.000 5.058
Mn 1.715 1.715 0.000
Re 1.715 1.715 3.293
CELL_PARAMETERS angstrom
3.430 0.000 0.000
0.000 3.430 0.000
0.000 0.000 6.586
```

The volume is 19.4 Å³/atom. The energy relative to the elements comes out at 10 kJ/mol of atoms.

21.
A relaxed structure of LaY4Pd5, computed with GGA-PBE. Values from VASP.

Structure (Quantum ESPRESSO input):
```
&SYSTEM
  ibrav = 0, nat = 10, ntyp = 3
/
ATOMIC_SPECIES
La 138.91 La.upf
Y 88.91 Y.upf
Pd 106.42 Pd.upf
ATOMIC_POSITIONS angstrom
La 0.000 0.000 0.000
Y 0.000 0.000 3.734
Y 0.000 0.000 7.287
Y 0.000 0.000 10.831
Y 0.000 0.000 14.384
Pd 1.756 1.756 2.043
Pd 1.756 1.756 5.517
Pd 1.756 1.756 9.059
Pd 1.756 1.756 12.601
Pd 1.756 1.756 16.075
CELL_PARAMETERS angstrom
3.511 0.000 0.000
0.000 3.511 0.000
0.000 0.000 18.118
```

The volume is 22.3 Å³/atom. The energy relative to the elements comes out at -82 kJ/mol of atoms.

22.
A relaxed structure of Cr3CoI, computed with GGA-PBE. Values from VASP.

Structure (Quantum ESPRESSO input):
```
&SYSTEM
  ibrav = 0, nat = 5, ntyp = 3
/
ATOMIC_SPECIES
Cr 52.00 Cr.upf
Co 58.93 Co.upf
I 126.90 I.upf
ATOMIC_POSITIONS angstrom
Cr 0.000 0.000 2.307
Cr 0.000 2.307 0.000
Cr 2.307 0.000 0.000
Co 0.000 0.000 0.000
I 2.307 2.307 2.307
CELL_PARAMETERS angstrom
4.613 0.000 0.000
0.000 4.613 0.000
0.000 0.000 4.613
```

The volume is 19.6 Å³/atom. The formation energy (no corrections) is 108 kJ per mole of atoms.

23.
A relaxed structure of Mn2N, computed with GGA-PBE. Values from VASP.

Structure (Quantum ESPRESSO input):
```
&SYSTEM
  ibrav = 0, nat = 3, ntyp = 2
/
ATOMIC_SPECIES
Mn 54.94 Mn.upf
N 14.01 N.upf
ATOMIC_POSITIONS angstrom
Mn 0.000 1.626 1.076
Mn 1.408 0.813 3.305
N 0.000 0.000 2.190
CELL_PARAMETERS angstrom
2.816 0.000 0.000
-1.408 2.439 0.000
0.000 0.000 4.381
```

The volume is 10.0 Å³/atom. The formation energy (no corrections) is -19 kJ per mole of atoms.

24.
A relaxed structure of Dy5Sc2Ga4, computed with GGA-PBE. Values from VASP.

Structure (Quantum ESPRESSO input):
```
&SYSTEM
  ibrav = 0, nat = 11, ntyp = 3
/
ATOMIC_SPECIES
Dy 162.50 Dy.upf
Sc 44.96 Sc.upf
Ga 69.72 Ga.upf
ATOMIC_POSITIONS angstrom
Dy 0.000 0.000 0.000
Dy 2.441 3.657 -2.208
Dy 0.000 1.677 3.819
Dy 2.441 3.657 2.208
Dy 0.000 1.677 8.235
Sc 2.441 0.000 2.177
Sc 0.000 5.334 3.850
Ga 2.441 1.745 0.000
Ga 2.441 0.000 4.794
Ga 0.000 5.334 1.233
Ga 0.000 3.590 6.027
CELL_PARAMETERS angstrom
-2.441 5.334 6.027
2.441 -5.334 6.027
2.441 5.334 -6.027
```

The volume is 28.5 Å³/atom. The energy relative to the elements comes out at -5 kJ/mol of atoms.

25.
A relaxed structure of Ce2Al2Ge3, computed with GGA-PBE. Values from VASP.

Structure (Quantum ESPRESSO input):
```
&SYSTEM
  ibrav = 0, nat = 14, ntyp = 3
/
ATOMIC_SPECIES
Ce 140.12 Ce.upf
Al 26.98 Al.upf
Ge 72.64 Ge.upf
ATOMIC_POSITIONS angstrom
Ce -1.628 0.000 4.141
Ce -2.325 0.000 7.940
Ce 10.818 0.000 1.530
Ce 10.121 0.000 5.328
Al 0.366 0.000 1.510
Al 5.628 0.000 1.787
Al 2.865 0.000 7.682
Al 8.127 0.000 7.959
Ge -5.090 0.000 9.059
Ge 0.387 0.000 6.504
Ge 3.740 0.000 3.559
Ge 4.753 0.000 5.911
Ge 8.106 0.000 2.965
Ge 13.583 0.000 0.410
CELL_PARAMETERS angstrom
7.804 -2.129 0.000
7.804 2.129 0.000
-7.116 0.000 9.469
```

The volume is 22.5 Å³/atom. The energy relative to the elements comes out at -50 kJ/mol of atoms.